(1)
Entry from the Alexandria database: crystalline Ta2AuF at its relaxed geometry (PBE).

The raw formation energy is -0.16 eV per atom. As for the excess energy over the best structure of this formula in the dataset: 0.000 eV per formula unit. For the density of states at the Fermi level, the calculation gives 5.81 states/eV per cell.

The structure belongs to space group Fm-3m (No. 225); the cell edges are 6.364, 6.364 and 6.364 Å and the angles 90.00°, 90.00° and 90.00°. The distinct sites, in fractional coordinates, are Ta at (0.250, 0.250, 0.250), Au at (0.000, 0.000, 0.000) and F at (0.000, 0.000, 0.500).



(2)
Entry from the Alexandria database: crystalline TaAuF3 at its relaxed geometry (PBE).

The raw formation energy is 0.19 eV per atom. As for the excess energy over the best structure of this formula in the dataset: 7.986 eV per formula unit. For the density of states at the Fermi level, the calculation gives 13.13 states/eV per cell.

The structure belongs to space group Pm-3m (No. 221); the cell edges are 4.463, 4.463 and 4.463 Å and the angles 90.00°, 90.00° and 90.00°. The distinct sites, in fractional coordinates, are Ta at (0.000, 0.000, 0.000), Au at (0.500, 0.500, 0.500) and F at (0.000, 0.500, 0.500).